CsCaH2CF | PBE | relaxed

Output
V = 19.1 Å³/atom
Total energy = -26.47 eV per cell
Size of the total moment = 0.00 μB/f.u.
SG = P1, No. 1

Cell lengths 4.076, 4.090, 7.607 Å; angles 77.27, 77.64, 69.80 degrees
Sites, in units of the cell vectors:
Cs (0.000, 0.000, 0.000)
Ca (0.497, 0.486, 0.490)
H (0.697, 0.702, 0.733)
H (0.974, 0.958, 0.624)
C (0.818, 0.804, 0.593)
F (0.567, 0.564, 0.190)

YTl2Se | PBE | relaxed

Output
V = 30.9 Å³/atom
Total energy = -51.72 eV per cell
Size of the total moment = 0.00 μB/f.u.
SG = R3m, No. 160

Cell lengths 3.944, 3.944, 27.567 Å; angles 90.00, 90.00, 120.00 degrees
Sites, in units of the cell vectors:
Y (0.000, 0.000, 0.000)
Y (0.333, 0.667, 0.667)
Y (0.667, 0.333, 0.333)
Tl (0.000, 0.000, 0.513)
Tl (0.000, 0.000, 0.754)
Tl (0.333, 0.667, 0.180)
Tl (0.333, 0.667, 0.420)
Tl (0.667, 0.333, 0.087)
Tl (0.667, 0.333, 0.847)
Se (0.000, 0.000, 0.275)
Se (0.333, 0.667, 0.942)
Se (0.667, 0.333, 0.609)

ZnRh5 | PBE | relaxed

Output
V = 16.3 Å³/atom
Total energy = -35.84 eV per cell
Formation energy from the elements = 0.366 eV per atom
Size of the total moment = 0.00 μB/f.u.
SG = P6/mmm, No. 191

Cell lengths 5.026, 5.026, 4.459 Å; angles 90.00, 90.00, 120.00 degrees
Sites, in units of the cell vectors:
Zn (0.000, 0.000, 0.000)
Rh (0.000, 0.500, 0.500)
Rh (0.333, 0.667, 0.000)
Rh (0.500, 0.000, 0.500)
Rh (0.500, 0.500, 0.500)
Rh (0.667, 0.333, 0.000)

Ta2TlSb | PBE | relaxed

Output
V = 22.9 Å³/atom
Total energy = -29.18 eV per cell
Size of the total moment = 0.00 μB/f.u.
SG = P4mm, No. 99

Cell lengths 3.485, 3.485, 7.553 Å; angles 90.00, 90.00, 90.00 degrees
Sites, in units of the cell vectors:
Ta (0.000, 0.000, 0.000)
Ta (0.500, 0.500, 0.188)
Tl (0.000, 0.000, 0.433)
Sb (0.500, 0.500, 0.792)

HfHIO2 | PBE | relaxed

Output
V = 14.8 Å³/atom
Total energy = -22.52 eV per cell
Size of the total moment = 0.92 μB/f.u.
SG = P4/mmm, No. 123

Cell lengths 4.617, 4.617, 3.467 Å; angles 90.00, 90.00, 90.00 degrees
Sites, in units of the cell vectors:
Hf (0.000, 0.000, 0.000)
H (0.500, 0.500, 0.000)
I (0.500, 0.500, 0.500)
O (0.000, 0.500, 0.500)
O (0.500, 0.000, 0.500)

Sm2AlCo12B3 | PBE | relaxed

Output
V = 13.0 Å³/atom
Total energy = -115.41 eV per cell
Formation energy from the elements = 0.171 eV per atom
Size of the total moment = 10.75 μB/f.u.
SG = R-3m, No. 166

Cell lengths 6.865, 6.865, 6.865 Å; angles 61.18, 61.18, 61.18 degrees
Sites, in units of the cell vectors:
Sm (0.090, 0.090, 0.090)
Sm (0.910, 0.910, 0.910)
Al (0.500, 0.500, 0.500)
Co (0.030, 0.654, 0.654)
Co (0.241, 0.241, 0.611)
Co (0.241, 0.611, 0.241)
Co (0.346, 0.346, 0.970)
Co (0.346, 0.970, 0.346)
Co (0.389, 0.759, 0.759)
Co (0.611, 0.241, 0.241)
Co (0.654, 0.030, 0.654)
Co (0.654, 0.654, 0.030)
Co (0.759, 0.389, 0.759)
Co (0.759, 0.759, 0.389)
Co (0.970, 0.346, 0.346)
B (0.000, 0.500, 0.500)
B (0.500, 0.000, 0.500)
B (0.500, 0.500, 0.000)

Tm7Al2Au2 | PBE | relaxed

Output
V = 27.6 Å³/atom
Total energy = -48.09 eV per cell
Formation energy from the elements = -0.250 eV per atom
Size of the total moment = 0.00 μB/f.u.
SG = Cmmm, No. 65

Cell lengths 6.691, 6.691, 7.135 Å; angles 90.00, 90.00, 108.15 degrees
Sites, in units of the cell vectors:
Tm (0.000, 0.000, 0.000)
Tm (0.000, 0.500, 0.272)
Tm (0.000, 0.500, 0.728)
Tm (0.500, 0.000, 0.272)
Tm (0.500, 0.000, 0.728)
Tm (0.500, 0.500, 0.261)
Tm (0.500, 0.500, 0.739)
Al (0.169, 0.169, 0.500)
Al (0.831, 0.831, 0.500)
Au (0.292, 0.708, 0.000)
Au (0.708, 0.292, 0.000)

HgAsN2 | PBE | relaxed

Output
V = 15.3 Å³/atom
Total energy = -72.79 eV per cell
Size of the total moment = 0.00 μB/f.u.
SG = I-42d, No. 122

Cell lengths 5.087, 5.087, 9.491 Å; angles 90.00, 90.00, 90.00 degrees
Sites, in units of the cell vectors:
Hg (0.000, 0.000, 0.000)
Hg (0.000, 0.500, 0.250)
Hg (0.500, 0.000, 0.750)
Hg (0.500, 0.500, 0.500)
As (0.000, 0.000, 0.500)
As (0.000, 0.500, 0.750)
As (0.500, 0.000, 0.250)
As (0.500, 0.500, 0.000)
N (0.177, 0.250, 0.625)
N (0.250, 0.677, 0.875)
N (0.250, 0.823, 0.375)
N (0.323, 0.250, 0.125)
N (0.677, 0.750, 0.125)
N (0.750, 0.177, 0.375)
N (0.750, 0.323, 0.875)
N (0.823, 0.750, 0.625)

Al2Ni | PBE | relaxed

Output
V = 13.5 Å³/atom
Total energy = -57.88 eV per cell
Formation energy from the elements = -0.401 eV per atom
Size of the total moment = 0.00 μB/f.u.
SG = C2/m, No. 12

Cell lengths 9.589, 2.849, 6.117 Å; angles 90.00, 104.83, 90.00 degrees
Sites, in units of the cell vectors:
Al (0.138, 0.000, 0.039)
Al (0.161, 0.000, 0.605)
Al (0.339, 0.500, 0.395)
Al (0.362, 0.500, 0.961)
Al (0.638, 0.500, 0.039)
Al (0.661, 0.500, 0.605)
Al (0.839, 0.000, 0.395)
Al (0.862, 0.000, 0.961)
Ni (0.033, 0.500, 0.288)
Ni (0.467, 0.000, 0.712)
Ni (0.533, 0.000, 0.288)
Ni (0.967, 0.500, 0.712)